This record from the Alexandria database describes a relaxed ScBi2WO8 crystal. The functional is PBE+U.

The structure in POSCAR format:
```
ScBi2WO8
1.0
3.577 -3.626 0.000
3.577 3.626 0.000
0.000 0.000 6.666
Sc Bi W O
1 2 1 8
Cartesian
0.000 0.000 0.000
3.577 0.000 1.660
3.577 0.000 5.005
0.000 0.000 3.333
3.577 2.350 1.825
3.577 2.350 4.841
1.940 0.000 3.333
2.093 0.000 0.000
5.061 0.000 0.000
5.214 0.000 3.333
3.577 -2.350 1.825
3.577 -2.350 4.841
```

Output
The calculation puts the density at 7.44 g/cm³. The crystal system is orthorhombic. For the total energy, the calculation gives -6.936 eV/atom. The total magnetization comes out at 0.00 μB/f.u.